(1)
Entry from Alexandria: a crystal of Li4Co3Sn5O16 relaxed with PBEsol (meta-GGA SCAN).

a = 5.9667 Å, b = 5.9667 Å, c = 9.6614 Å
α = 90.78°, β = 90.78°, γ = 60.75°
Last column: nearest neighbours and their distance in Å.
Atoms (fractional coordinates):
Li  0.3357  0.3357  0.5929  4 O 1.92-2.01
Li  0.6750  0.6750  0.1145  4 O 1.94-2.10
Li  0.9846  0.9846  0.5000  4 O 1.80-1.95
Li  0.9732  0.9732  0.0122  3 O 1.77-1.89
Sn  0.3441  0.3441  0.0163  6 O 2.08-2.14
Sn  0.8341  0.3398  0.7849  6 O 2.04-2.10
Sn  0.1682  0.1682  0.2856  6 O 2.04-2.11
Sn  0.6698  0.6698  0.5008  6 O 2.05-2.19
Sn  0.3398  0.8341  0.7849  6 O 2.04-2.10
Co  0.1714  0.6600  0.2861  6 O 1.92-2.01
Co  0.8313  0.8313  0.7837  6 O 1.91-2.04
Co  0.6600  0.1714  0.2861  6 O 1.92-2.01
O  0.9913  0.9913  0.6863  1 Li 1.80, 1 Co 1.91
O  0.9692  0.5235  0.6572  1 Co 2.01, 1 Li 2.01, 2 Sn 2.07-2.16
O  0.1621  0.1621  0.9120  3 Sn 2.10-2.11, 1 Li 2.19
O  0.4978  0.0379  0.1623  1 Co 1.92, 1 Li 1.94, 2 Sn 2.11-2.14
O  0.1595  0.6773  0.9001  1 Li 1.89, 1 Co 2.04, 2 Sn 2.08
O  0.8373  0.8373  0.3885  1 Li 1.85, 2 Co 2.01, 1 Sn 2.05
O  0.9881  0.9881  0.1952  1 Li 1.77, 2 Co 1.93
O  0.5147  0.5147  0.6533  1 Li 1.92, 2 Sn 2.09
O  0.4864  0.4864  0.1774  2 Co 1.96, 1 Li 2.04, 1 Sn 2.12
O  0.8324  0.3128  0.4039  1 Li 1.95, 1 Co 1.96, 2 Sn 2.07-2.10
O  0.0379  0.4978  0.1623  1 Co 1.92, 1 Li 1.94, 2 Sn 2.11-2.14
O  0.5235  0.9692  0.6572  1 Co 2.01, 1 Li 2.01, 2 Sn 2.07-2.16
O  0.6768  0.6768  0.8975  1 Co 1.95, 2 Sn 2.06, 1 Li 2.10
O  0.3128  0.8324  0.4039  1 Li 1.95, 1 Co 1.96, 2 Sn 2.07-2.10
O  0.6773  0.1595  0.9001  1 Li 1.89, 1 Co 2.04, 2 Sn 2.08
O  0.3449  0.3449  0.3869  2 Co 1.92, 1 Li 1.99, 1 Sn 2.05

Output
Formation energy (no corrections) ... -1.790 eV/atom
DOS(E_F) ... 2.43 states/eV/cell
V ... 10.72 A^3/atom

(2)
Entry from Alexandria: a crystal of Li3Co2SnO6 relaxed with PBEsol (meta-GGA SCAN).

a = 2.9803 Å, b = 5.9619 Å, c = 6.6488 Å
α = 104.60°, β = 102.95°, γ = 90.00°
Last column: nearest neighbours and their distance in Å.
Atoms (fractional coordinates):
O  0.1647  0.0841  0.3293  3 Co 1.95-2.03, 3 Li 2.06-2.09
O  0.8353  0.9159  0.6707  3 Co 1.95-2.03, 3 Li 2.06-2.09
O  0.1641  0.6059  0.3282  3 Li 2.02-2.22, 1 Sn 2.06, 2 Co 2.11
O  0.4967  0.2563  0.9935  2 Sn 2.07, 3 Li 2.14-2.24, 1 Co 2.22
O  0.5033  0.7437  0.0065  2 Sn 2.07, 3 Li 2.14-2.24, 1 Co 2.22
O  0.8359  0.3941  0.6718  3 Li 2.02-2.22, 1 Sn 2.06, 2 Co 2.11
Li  0.6751  0.3360  0.3502  6 O 2.02-2.24
Li  0.3249  0.6640  0.6498  6 O 2.02-2.24
Li  0.0000  0.0000  0.0000  6 O 2.06-2.14
Sn  0.0000  0.5000  0.0000  6 O 2.06-2.07
Co  0.3193  0.1364  0.6386  5 O 1.95-2.11
Co  0.6807  0.8636  0.3614  5 O 1.95-2.11

Output
Formation energy (no corrections) ... -1.712 eV/atom
DOS(E_F) ... 4.10 states/eV/cell
V ... 9.27 A^3/atom

(3)
Entry from Alexandria: a crystal of Li2Co3SnO8 relaxed with PBEsol (meta-GGA SCAN).

a = 8.1627 Å, b = 8.1625 Å, c = 8.1625 Å
α = 90.00°, β = 90.00°, γ = 90.00°
Last column: nearest neighbours and their distance in Å.
Atoms (fractional coordinates):
Li  0.1235  0.2483  0.5015  4 O 1.91-1.98
Li  0.3764  0.5013  0.2487  4 O 1.91-1.98
Li  0.6236  0.7513  0.4987  4 O 1.91-1.98
Li  0.8736  0.0013  0.2516  4 O 1.91-1.98
Li  0.3736  0.9985  0.7487  4 O 1.91-1.98
Li  0.8765  0.4985  0.7517  4 O 1.91-1.98
Li  0.6264  0.2513  0.0015  4 O 1.91-1.98
Li  0.1264  0.7484  0.9987  4 O 1.91-1.98
O  0.7680  0.1287  0.8477  2 Co 1.90-1.91, 1 Li 1.98, 1 Sn 2.09
O  0.5275  0.1211  0.6072  2 Co 1.90-1.91, 1 Li 1.98, 1 Sn 2.09
O  0.9886  0.1134  0.6366  3 Co 1.87, 1 Li 1.91
O  0.5114  0.6363  0.1137  3 Co 1.87, 1 Li 1.91
O  0.9962  0.1428  0.0977  2 Co 1.90-1.91, 1 Li 1.98, 1 Sn 2.09
O  0.0276  0.8788  0.3931  2 Co 1.90-1.91, 1 Li 1.98, 1 Sn 2.09
O  0.2776  0.1069  0.3790  2 Co 1.90-1.91, 1 Li 1.98, 1 Sn 2.09
O  0.2320  0.1523  0.8713  2 Co 1.90-1.91, 1 Li 1.98, 1 Sn 2.09
O  0.5180  0.3474  0.3713  2 Co 1.90-1.91, 1 Li 1.98, 1 Sn 2.09
O  0.2386  0.8634  0.6137  3 Co 1.87, 1 Li 1.91
O  0.2462  0.4023  0.6431  2 Co 1.90-1.91, 1 Li 1.98, 1 Sn 2.09
O  0.7775  0.8928  0.6213  2 Co 1.90-1.91, 1 Li 1.98, 1 Sn 2.09
O  0.0038  0.9023  0.8572  2 Co 1.90-1.91, 1 Li 1.98, 1 Sn 2.09
O  0.0180  0.6523  0.6289  2 Co 1.90-1.91, 1 Li 1.98, 1 Sn 2.09
O  0.2538  0.6428  0.4026  2 Co 1.90-1.91, 1 Li 1.98, 1 Sn 2.09
O  0.4725  0.3928  0.8789  2 Co 1.90-1.91, 1 Li 1.98, 1 Sn 2.09
O  0.4961  0.8569  0.9026  2 Co 1.90-1.91, 1 Li 1.98, 1 Sn 2.09
O  0.5039  0.0974  0.1431  2 Co 1.90-1.91, 1 Li 1.98, 1 Sn 2.09
O  0.7386  0.1363  0.3866  3 Co 1.87, 1 Li 1.91
O  0.2614  0.6134  0.8637  3 Co 1.87, 1 Li 1.91
O  0.2225  0.3787  0.1072  2 Co 1.90-1.91, 1 Li 1.98, 1 Sn 2.09
O  0.2680  0.8710  0.1527  2 Co 1.90-1.91, 1 Li 1.98, 1 Sn 2.09
O  0.7538  0.3569  0.5977  2 Co 1.90-1.91, 1 Li 1.98, 1 Sn 2.09
O  0.4886  0.8863  0.3637  3 Co 1.87, 1 Li 1.91
O  0.0114  0.3634  0.8866  3 Co 1.87, 1 Li 1.91
O  0.7614  0.3863  0.1366  3 Co 1.87, 1 Li 1.91
O  0.9724  0.6069  0.1212  2 Co 1.90-1.91, 1 Li 1.98, 1 Sn 2.09
O  0.9820  0.3711  0.3477  2 Co 1.90-1.91, 1 Li 1.98, 1 Sn 2.09
O  0.4820  0.6287  0.6526  2 Co 1.90-1.91, 1 Li 1.98, 1 Sn 2.09
O  0.7320  0.8473  0.1290  2 Co 1.90-1.91, 1 Li 1.98, 1 Sn 2.09
O  0.7224  0.6210  0.8931  2 Co 1.90-1.91, 1 Li 1.98, 1 Sn 2.09
O  0.7462  0.5974  0.3572  2 Co 1.90-1.91, 1 Li 1.98, 1 Sn 2.09
Co  0.2392  0.3857  0.8751  6 O 1.87-1.91
Co  0.2609  0.8749  0.3860  6 O 1.87-1.91
Co  0.5000  0.8640  0.1360  6 O 1.87-1.91
Co  0.5109  0.1140  0.3751  6 O 1.87-1.91
Co  0.4891  0.6249  0.8860  6 O 1.87-1.91
Co  0.7391  0.6140  0.1251  6 O 1.87-1.91
Co  0.2500  0.6357  0.6359  6 O 1.87-1.91
Co  0.7608  0.1249  0.6143  6 O 1.87-1.91
Co  0.0108  0.8857  0.6252  6 O 1.87-1.91
Co  0.0000  0.1356  0.8644  6 O 1.87-1.91
Co  0.7500  0.3641  0.3643  6 O 1.87-1.91
Co  0.9892  0.3748  0.1143  6 O 1.87-1.91
Sn  0.7500  0.8748  0.8751  6 O 2.09
Sn  0.2500  0.1249  0.1252  6 O 2.09
Sn  0.0000  0.6249  0.3751  6 O 2.09
Sn  0.5000  0.3749  0.6251  6 O 2.09

Output
Formation energy (no corrections) ... -1.706 eV/atom
DOS(E_F) ... 21.32 states/eV/cell
V ... 9.71 A^3/atom

(4)
Entry from Alexandria: a crystal of LiCoSnO4 relaxed with PBEsol (meta-GGA SCAN).

a = 5.7707 Å, b = 5.9418 Å, c = 5.9418 Å
α = 116.95°, β = 119.05°, γ = 60.95°
Last column: nearest neighbours and their distance in Å.
Atoms (fractional coordinates):
Sn  0.5000  0.5000  0.0000  6 O 2.07-2.09
Sn  0.5000  0.0000  0.5000  6 O 2.07-2.09
Li  0.1212  0.1287  0.8713  2 O 1.90
Li  0.8788  0.8713  0.1287  2 O 1.90
O  0.7221  0.2681  0.7319  1 Li 1.90, 1 Co 1.93, 2 Sn 2.09
O  0.7468  0.7097  0.7032  2 Co 1.93, 1 Sn 2.07, 1 Li 2.13
O  0.2418  0.2680  0.7320  1 Li 1.90, 1 Co 1.93, 2 Sn 2.09
O  0.2779  0.7319  0.2681  1 Li 1.90, 1 Co 1.93, 2 Sn 2.09
O  0.7468  0.2968  0.2903  2 Co 1.93, 1 Sn 2.07, 1 Li 2.13
O  0.2532  0.7032  0.7097  2 Co 1.93, 1 Sn 2.07, 1 Li 2.13
O  0.7582  0.7320  0.2680  1 Li 1.90, 1 Co 1.93, 2 Sn 2.09
O  0.2532  0.2903  0.2968  2 Co 1.93, 1 Sn 2.07, 1 Li 2.13
Co  0.0000  0.5000  0.5000  6 O 1.93
Co  0.5000  0.5000  0.5000  6 O 1.93

Output
Formation energy (no corrections) ... -1.794 eV/atom
DOS(E_F) ... 0.00 states/eV/cell
V ... 10.66 A^3/atom

(5)
Entry from Alexandria: a crystal of Li4Ti2Co3Sn3O16 relaxed with PBEsol (meta-GGA SCAN).

a = 5.9242 Å, b = 5.9242 Å, c = 9.3765 Å
α = 91.47°, β = 91.47°, γ = 60.60°
Last column: nearest neighbours and their distance in Å.
Atoms (fractional coordinates):
O  0.6612  0.1638  0.9028  1 Li 1.89, 1 Ti 1.96, 1 Co 2.03, 1 Sn 2.11
O  0.8252  0.3313  0.4061  1 Ti 1.95, 1 Co 1.98, 1 Li 1.99, 1 Sn 2.13
O  0.5294  0.9616  0.6559  1 Co 1.95, 1 Li 2.02, 1 Sn 2.07, 1 Ti 2.09
O  0.6782  0.6782  0.9028  1 Co 1.93, 1 Li 1.99, 2 Sn 2.05
O  0.1626  0.1627  0.9170  2 Sn 2.09, 1 Ti 2.10, 1 Li 2.19
O  0.5161  0.5161  0.6520  1 Li 1.89, 2 Sn 2.06
O  0.4827  0.4827  0.1669  1 Ti 1.93, 2 Co 1.97, 1 Li 2.07
O  0.9886  0.9886  0.6846  1 Li 1.77, 1 Co 1.90
O  0.8262  0.8262  0.3934  1 Li 1.86, 1 Ti 1.86, 2 Co 2.06
O  0.3462  0.3462  0.3893  2 Co 1.90, 1 Li 1.96, 1 Sn 2.03
O  0.3313  0.8252  0.4061  1 Ti 1.95, 1 Co 1.98, 1 Li 1.99, 1 Sn 2.13
O  0.1638  0.6612  0.9028  1 Li 1.89, 1 Ti 1.96, 1 Co 2.03, 1 Sn 2.11
O  0.0441  0.4934  0.1563  1 Co 1.91, 1 Li 1.92, 1 Ti 2.06, 1 Sn 2.08
O  0.9616  0.5294  0.6559  1 Co 1.95, 1 Li 2.02, 1 Sn 2.07, 1 Ti 2.09
O  0.4934  0.0441  0.1563  1 Co 1.91, 1 Li 1.92, 1 Ti 2.06, 1 Sn 2.08
O  0.9867  0.9867  0.1963  1 Li 1.74, 2 Co 1.90
Li  0.6777  0.6777  0.1151  4 O 1.92-2.07
Li  0.3365  0.3365  0.5980  4 O 1.89-2.02
Li  0.9688  0.9688  0.0109  3 O 1.74-1.89
Li  0.9849  0.9849  0.4954  2 O 1.77-1.86
Ti  0.6735  0.6735  0.4965  3 O 1.86-1.95
Ti  0.3486  0.3486  0.0173  6 O 1.93-2.10
Sn  0.8331  0.3393  0.7862  6 O 2.03-2.11
Sn  0.1693  0.1693  0.2841  6 O 2.02-2.13
Sn  0.3393  0.8331  0.7862  6 O 2.03-2.11
Co  0.8299  0.8299  0.7849  6 O 1.90-2.03
Co  0.1728  0.6593  0.2863  6 O 1.90-2.06
Co  0.6593  0.1728  0.2863  6 O 1.90-2.06

Output
Formation energy (no corrections) ... -2.086 eV/atom
DOS(E_F) ... 6.27 states/eV/cell
V ... 10.24 A^3/atom

(6)
Entry from Alexandria: a crystal of Li4V3Co3Sn2O16 relaxed with PBEsol (meta-GGA SCAN).

a = 5.6994 Å, b = 5.7438 Å, c = 9.6443 Å
α = 89.99°, β = 90.21°, γ = 59.74°
Last column: nearest neighbours and their distance in Å.
Atoms (fractional coordinates):
Li  0.0059  0.9972  0.4938  4 O 1.81-1.94
Li  0.6667  0.6666  0.3890  4 O 1.88-2.00
Li  0.0086  0.9956  0.9924  4 O 1.82-1.92
Li  0.3347  0.3326  0.9009  4 O 1.87-1.99
O  0.0344  0.4827  0.3268  2 Co 1.91, 1 Li 1.91, 1 Sn 2.12
O  0.0012  0.9995  0.8035  1 Li 1.82, 1 Co 1.91, 2 V 1.96
O  0.4855  0.4842  0.3348  1 Li 1.88, 1 Co 1.91, 1 V 1.93
O  0.8430  0.3124  0.1068  1 Li 1.92, 1 V 1.94, 1 Co 1.94, 1 Sn 2.05
O  0.3148  0.8425  0.1057  1 Li 1.86, 2 Co 1.93, 1 Sn 2.02
O  0.0065  0.9966  0.3061  1 Li 1.81, 2 Co 1.90, 1 V 1.95
O  0.6758  0.1623  0.6037  1 Li 1.94, 2 V 1.99, 1 Sn 2.05
O  0.8430  0.8444  0.1068  1 Li 1.92, 1 V 1.94, 1 Co 1.94, 1 Sn 2.05
O  0.4854  0.0302  0.3348  1 Li 1.88, 1 Co 1.91, 1 V 1.93
O  0.1525  0.1643  0.6046  1 Li 1.89, 1 V 1.96, 1 Co 1.98, 1 Sn 2.04
O  0.6664  0.6670  0.5964  2 V 1.92, 1 Co 1.95, 1 Li 2.00
O  0.1526  0.6834  0.6045  1 Li 1.89, 1 V 1.96, 1 Co 1.98, 1 Sn 2.04
O  0.3299  0.3349  0.1074  1 V 1.90, 2 Co 1.91, 1 Li 1.99
O  0.9729  0.5136  0.8406  1 Li 1.87, 2 V 1.96
O  0.5189  0.5134  0.8371  1 V 1.90, 1 Li 1.91, 1 Co 1.96
O  0.5189  0.9678  0.8371  1 V 1.90, 1 Li 1.91, 1 Co 1.95
Co  0.1755  0.6579  0.2149  6 O 1.90-1.94
Co  0.3461  0.8271  0.7143  6 O 1.91-1.98
Co  0.1755  0.1664  0.2150  6 O 1.90-1.94
V  0.8205  0.3557  0.7143  6 O 1.90-1.99
V  0.8206  0.8241  0.7144  6 O 1.90-1.99
V  0.6537  0.1730  0.2145  6 O 1.90-1.95
Sn  0.6664  0.6667  0.9980  6 O 2.02-2.15
Sn  0.3241  0.3380  0.4896  6 O 2.04-2.14

Output
Formation energy (no corrections) ... -2.099 eV/atom
DOS(E_F) ... 2.04 states/eV/cell
V ... 9.74 A^3/atom